Version P
# CuAgSb | the Alexandria database | GGA-PBEsol | relaxed
# - total magnetization (μB per cell) = 0.000
# - DOS at the Fermi energy (states/eV/cell) = 2.01
data_CuAgSb
_cell_length_a 3.5250
_cell_length_b 3.7956
_cell_length_c 8.0299
_cell_angle_alpha 90.00
_cell_angle_beta 90.00
_cell_angle_gamma 90.00
_symmetry_space_group_name_H-M 'I m m 2'
_symmetry_Int_Tables_number 44
loop_
_symmetry_equiv_pos_as_xyz
'x,y,z'
'-x,-y,z'
'-x,y,z'
'x,-y,z'
'x+1/2,y+1/2,z+1/2'
'-x+1/2,-y+1/2,z+1/2'
'-x+1/2,y+1/2,z+1/2'
'x+1/2,-y+1/2,z+1/2'
loop_
_atom_site_label
_atom_site_type_symbol
_atom_site_fract_x
_atom_site_fract_y
_atom_site_fract_z
Cu1 Cu 0.0000 0.0000 0.0000
Ag1 Ag 0.0000 0.0000 0.3327
Sb1 Sb 0.0000 0.0000 0.6677



Version Q
# CuAgSb | the Alexandria database | GGA-PBEsol | relaxed
# - total magnetization (μB per cell) = 0.001
# - DOS at the Fermi energy (states/eV/cell) = 3.26
data_CuAgSb
_cell_length_a 6.1001
_cell_length_b 6.1001
_cell_length_c 6.1001
_cell_angle_alpha 90.00
_cell_angle_beta 90.00
_cell_angle_gamma 90.00
_symmetry_space_group_name_H-M 'F -4 3 m'
_symmetry_Int_Tables_number 216
_symmetry_space_group_name_Hall 'F -4 2 3'
loop_
_atom_site_label
_atom_site_type_symbol
_atom_site_fract_x
_atom_site_fract_y
_atom_site_fract_z
Cu1 Cu 0.0000 0.0000 0.0000
Ag1 Ag 0.2500 0.2500 0.2500
Sb1 Sb 0.2500 0.2500 0.7500



version Q is preferred energetically. Next in line: 125 meV per atom higher.